Compound: HfZnNiO4
Source: Alexandria
Functional: PBE+U
Structure: optimized geometry

The structure in extended XYZ format:
```
14
Lattice="-3.0249 3.1580 4.3325 3.0249 -3.1580 4.3325 3.0249 3.1580 -4.3325" Properties=species:S:1:pos:R:3 pbc="T T T"
Hf 0.0000 0.0000 0.0000
Hf 0.0000 3.1580 0.0000
Zn 3.0249 1.5790 1.1833
Zn 0.0000 1.5790 3.1492
Ni 1.5124 1.5790 -2.1663
Ni 1.5124 -1.5790 2.1663
O 3.0249 3.0425 -2.2614
O 3.0249 -0.1155 2.2614
O 1.3857 1.5790 -0.0140
O 1.6392 -1.5790 4.3185
O 1.3857 4.7370 0.0140
O 1.6392 1.5790 4.3465
O 0.0000 3.2736 2.0711
O 0.0000 0.1155 6.5939
```

Computed properties:
* space-group type: Imma (74)
* total DFT energy (no corrections): -7.004 eV/atom